A plane-wave DFT calculation with PBE-GGA was carried out for Er3Cu3Pd2 after structural relaxation.

It has space group P-62m (No. 189), with a = 6.7446 Å, b = 6.7446 Å, c = 3.9496 Å, α = 90.00°, β = 90.00° and γ = 120.00°. Symmetry generates all atoms from Er at (0.0000, 0.3684, 0.0000), Cu at (0.0000, 0.7759, 0.5000) and Pd at (0.3333, 0.6667, 0.5000).

The value obtained for the total energy is -5.063 eV/atom. The value obtained for the polymorph energy (0 for the lowest one) is 20.8 meV per atom. The energy of formation from the pure elements comes out at -518 meV per atom.

---

A plane-wave DFT calculation with PBE-GGA was carried out for Tb8BiRu2 after structural relaxation.

It has space group C2/m (No. 12), with a = 8.7010 Å, b = 13.1670 Å, c = 5.6136 Å, α = 90.00°, β = 103.44° and γ = 90.00°. Symmetry generates all atoms from Tb at (0.0000, 0.2490, 0.0000), Tb at (0.1072, 0.5000, 0.7932), Tb at (0.2009, 0.1318, 0.5831), Bi at (0.0000, 0.0000, 0.0000) and Ru at (0.0000, 0.3093, 0.5000).

The value obtained for the total energy is -5.695 eV/atom. The energy of formation from the pure elements comes out at -288 meV per atom.

---

A plane-wave DFT calculation with PBE-GGA was carried out for Cs2ZnBI6 after structural relaxation.

It has space group I4/mmm (No. 139), with a = 8.0765 Å, b = 8.0765 Å, c = 11.9356 Å, α = 90.00°, β = 90.00° and γ = 90.00°. Symmetry generates all atoms from Cs at (0.0000, 0.5000, 0.2500), Zn at (0.0000, 0.0000, 0.0000), B at (0.0000, 0.0000, 0.5000), I at (0.0000, 0.0000, 0.2216) and I at (0.2248, 0.2248, 0.5000).

The value obtained for the total energy is -2.335 eV/atom. The formation energy (no corrections) comes out at -0.439 eV per atom.

---

A plane-wave DFT calculation with PBE-GGA was carried out for SrFe2Co2 after structural relaxation.

It has space group I4/mmm (No. 139), with a = 4.1295 Å, b = 4.1295 Å, c = 9.8155 Å, α = 90.00°, β = 90.00° and γ = 90.00°. Symmetry generates all atoms from Sr at (0.0000, 0.0000, 0.0000), Fe at (0.0000, 0.0000, 0.3671) and Co at (0.0000, 0.5000, 0.2500).

The value obtained for the total energy is -6.237 eV/atom. The value obtained for the polymorph energy (0 for the lowest one) is 66.2 meV per atom. The energy of formation from the pure elements comes out at 327 meV per atom.

---

A plane-wave DFT calculation with PBE-GGA was carried out for Na2InHg2Pd5 after structural relaxation.

It has space group P4/mbm (No. 127), with a = 9.8262 Å, b = 9.8262 Å, c = 4.0647 Å, α = 90.00°, β = 90.00° and γ = 90.00°. Symmetry generates all atoms from Na at (0.1686, 0.3314, 0.0000), In at (0.0000, 0.0000, 0.0000), Hg at (0.1310, 0.6310, 0.0000), Pd at (0.0000, 0.5000, 0.5000) and Pd at (0.0603, 0.8069, 0.5000).

The value obtained for the total energy is -3.435 eV/atom. The energy of formation from the pure elements comes out at -241 meV per atom.

---

A plane-wave DFT calculation with PBE-GGA was carried out for InRu4W after structural relaxation.

It has space group F-43m (No. 216), with a = 7.2357 Å, b = 7.2357 Å, c = 7.2357 Å, α = 90.00°, β = 90.00° and γ = 90.00°. Symmetry generates all atoms from In at (0.0000, 0.0000, 0.0000), Ru at (0.1253, 0.1253, 0.3747) and W at (0.2500, 0.2500, 0.7500).

The value obtained for the total energy is -8.408 eV/atom. The energy of formation from the pure elements comes out at 391 meV per atom.

---

A plane-wave DFT calculation with PBE-GGA was carried out for SiGePd2Ru after structural relaxation.

It has space group P4/mmm (No. 123), with a = 4.5717 Å, b = 4.5717 Å, c = 4.6288 Å, α = 90.00°, β = 90.00° and γ = 90.00°. Symmetry generates all atoms from Si at (0.0000, 0.0000, 0.0000), Ge at (0.5000, 0.5000, 0.5000), Pd at (0.0000, 0.5000, 0.5000) and Ru at (0.5000, 0.5000, 0.0000).

The value obtained for the total energy is -5.232 eV/atom. The formation energy (no corrections) comes out at 0.709 eV per atom.